1.
## Sm4GeTe2Pb (PBE)

Data for an optimized crystal structure of Sm4GeTe2Pb.

Summary:
ρ	7.6	Mg/m³
formation energy from raw total energies	-106	kJ/mol of atoms
electronic total energy	-5.2814	eV/atom
SG	No. 10

```
8
Lattice="7.695 0.000 0.000 0.000 4.400 0.000 -2.528 0.000 7.288" Properties=species:S:1:pos:R:3 pbc="T T T"
Sm 1.211 0.000 1.660
Sm -0.058 2.200 5.563
Sm 5.226 2.200 1.725
Sm 3.956 0.000 5.628
Ge 0.000 2.200 0.000
Te -1.264 0.000 3.644
Te 2.584 2.200 3.644
Pb 3.847 0.000 0.000
```

2.
## TaFeAu (PBE)

Data for an optimized crystal structure of TaFeAu.

Summary:
ρ	15.1	Mg/m³
E above lowest polymorph	3.08	kcal/mol of atoms
electronic total energy	-7.7537	eV/atom
SG	No. 187

```
3
Lattice="4.493 0.000 0.000 -2.247 3.891 0.000 0.000 0.000 2.721" Properties=species:S:1:pos:R:3 pbc="T T T"
Ta 0.000 0.000 0.000
Fe 2.247 1.297 1.360
Au 0.000 2.594 1.360
```

3.
## YMnRh (PBE)

Data for an optimized crystal structure of YMnRh.

Summary:
ρ	7.1	Mg/m³
electronic total energy	-7.8487	eV/atom
SG	No. 107

```
3
Lattice="-1.689 1.689 5.069 1.689 -1.689 5.069 1.689 1.689 -5.069" Properties=species:S:1:pos:R:3 pbc="T T T"
Y 0.000 0.000 0.000
Mn 0.000 0.000 7.144
Rh 0.000 0.000 3.299
```

4.
## CaZnGa4Pt2 (PBE)

Data for an optimized crystal structure of CaZnGa4Pt2.

Summary:
ρ	8.9	Mg/m³
electronic total energy	-3.9065	eV/atom
SG	No. 166

```
8
Lattice="2.157 1.245 9.008 -2.157 1.245 9.008 0.000 -2.490 9.008" Properties=species:S:1:pos:R:3 pbc="T T T"
Ca 0.000 0.000 0.000
Zn 0.000 0.000 13.512
Ga 0.000 0.000 3.391
Ga 0.000 0.000 10.761
Ga 0.000 0.000 16.264
Ga 0.000 0.000 23.634
Pt 0.000 0.000 6.376
Pt 0.000 0.000 20.649
```

5.
## BeNiRu2 (PBE)

Data for an optimized crystal structure of BeNiRu2.

Summary:
ρ	9.2	Mg/m³
electronic total energy	-6.9263	eV/atom
SG	No. 12

```
4
Lattice="4.170 -1.318 0.000 4.170 1.318 0.000 -1.003 0.000 4.433" Properties=species:S:1:pos:R:3 pbc="T T T"
Be 0.000 0.000 0.000
Ni 3.669 0.000 2.216
Ru 1.392 0.000 3.362
Ru 5.945 0.000 1.071
```

6.
## Li2LaBe (PBE)

Data for an optimized crystal structure of Li2LaBe.

Summary:
ρ	2.9	Mg/m³
electronic total energy	-2.6735	eV/atom
SG	No. 141

```
8
Lattice="-2.231 2.231 9.283 2.231 -2.231 9.283 2.231 2.231 -9.283" Properties=species:S:1:pos:R:3 pbc="T T T"
Li 0.000 0.000 0.000
Li 1.115 1.115 -4.642
Li 1.115 -1.115 4.642
Li 0.000 2.231 0.000
La 2.231 1.115 2.321
La 0.000 1.115 6.962
Be 2.231 -1.115 6.962
Be 0.000 3.346 2.321
```

7.
## La2Ge4Ir3Rh (PBE)

Data for an optimized crystal structure of La2Ge4Ir3Rh.

Summary:
ρ	10.9	Mg/m³
electronic total energy	-7.0639	eV/atom
SG	No. 115

```
10
Lattice="4.325 0.000 0.000 0.000 4.325 0.000 0.000 0.000 10.185" Properties=species:S:1:pos:R:3 pbc="T T T"
La 0.000 2.162 2.485
La 2.162 0.000 7.700
Ge 0.000 0.000 0.000
Ge 0.000 2.162 6.407
Ge 2.162 0.000 3.779
Ge 2.162 2.162 0.000
Ir 0.000 2.162 8.893
Ir 2.162 0.000 1.293
Ir 2.162 2.162 5.093
Rh 0.000 0.000 5.093
```

8.
## LuPuCu2 (PBE)

Data for an optimized crystal structure of LuPuCu2.

Summary:
ρ	10.3	Mg/m³
E above lowest polymorph	6.24	kcal/mol of atoms
electronic total energy	-6.5917	eV/atom
SG	No. 166

```
4
Lattice="1.800 1.039 7.882 -1.800 1.039 7.882 0.000 -2.078 7.882" Properties=species:S:1:pos:R:3 pbc="T T T"
Lu 0.000 0.000 0.000
Pu 0.000 0.000 11.823
Cu 0.000 0.000 6.000
Cu 0.000 0.000 17.646
```

Q: Among the records above, which one has the highest ρ?
A: TaFeAu

Q: Among the records above, which one has the lowest ρ?
A: Li2LaBe

Q: Among the records above, which one has the highest ρ?
A: TaFeAu